1.
PBE CuNiP2Cl, optimized geometry; Fermi-level density of states = 1.3 states/eV per cell; excess energy over the best structure of this formula in the dataset = 0 meV per atom; V = 122 Å³ per cell; formation energy (no corrections) = 550 meV/atom
1.0
-2.6708 2.6731 -1.5270
-2.4094 -0.5566 3.2396
3.4589 5.4616 3.5109
Ni P Cu Cl
1 2 1 1
Cartesian
0.0000 0.0000 0.0000
-1.2047 -0.2783 1.6198
-1.3354 1.3365 -0.7635
-0.8107 3.7890 2.6117
1.7294 2.7308 1.7555



2.
PBE NbZn4Re, optimized geometry; Fermi-level density of states = 2.8 states/eV per cell; V = 85 Å³ per cell; calculated formation energy = -27 meV per atom
1.0
4.9449 0.0000 0.0000
2.4724 4.2824 0.0000
2.4724 1.4275 4.0375
Re Nb Zn
1 1 4
Cartesian
0.0000 0.0000 0.0000
2.4724 1.4275 1.0094
4.9449 2.8549 0.5022
4.9449 1.4251 2.5243
6.1831 3.5698 2.5243
3.7066 3.5698 2.5243



3.
PBE Hf3Ir2Rh, optimized geometry; Fermi-level density of states = 9.3 states/eV per cell; excess energy over the best structure of this formula in the dataset = 4 meV per atom; V = 210 Å³ per cell; calculated formation energy = -893 meV per atom
1.0
-3.2704 -2.8739 0.8268
2.7495 -5.7694 2.8702
-0.8451 2.8330 6.5044
Hf Ir Rh
6 4 2
Cartesian
-2.4467 -2.1875 6.5275
-1.8453 -0.7325 2.0308
1.0808 -3.6227 3.6739
-2.0228 -3.6087 3.2646
0.6568 -2.2016 6.9368
-2.2701 0.6916 5.3004
0.0000 0.0000 0.0000
-0.4226 1.4165 3.2522
-0.6008 -1.4607 4.4822
-0.7651 -4.3496 5.7192
-0.1624 -2.8922 1.2386
-0.3585 -5.7511 2.4584